1.
! GGA-PBEsol LaMg2Si2, optimized geometry; values from VASP
&SYSTEM
  ibrav = 0, nat = 5, ntyp = 3
/
ATOMIC_SPECIES
La 138.91 La.upf
Mg 24.30 Mg.upf
Si 28.09 Si.upf
CELL_PARAMETERS angstrom
-2.139 2.139 5.757
2.139 -2.139 5.757
2.139 2.139 -5.757
ATOMIC_POSITIONS crystal
La 0.000 0.000 0.000
Mg 0.250 0.750 0.500
Mg 0.750 0.250 0.500
Si 0.397 0.397 0.000
Si 0.603 0.603 0.000
! D(E_F): 2.5 states/eV per cell
! Raw total energy: -4.544 eV per atom
! E above lowest polymorph: 20 meV per atom
! Uncorrected formation energy: -0.49 eV/atom

2.
! GGA-PBEsol Li3PtC, optimized geometry; values from VASP
&SYSTEM
  ibrav = 0, nat = 5, ntyp = 3
/
ATOMIC_SPECIES
Li 6.94 Li.upf
Pt 195.08 Pt.upf
C 12.01 C.upf
CELL_PARAMETERS angstrom
4.697 0.000 0.000
0.000 4.697 0.000
0.000 0.000 4.697
ATOMIC_POSITIONS crystal
Li 0.000 0.000 0.500
Li 0.000 0.500 0.000
Li 0.500 0.000 0.000
Pt 0.000 0.000 0.000
C 0.500 0.500 0.500
! D(E_F): 0.7 states/eV per cell
! Raw total energy: -3.261 eV per atom